# 1
Material: Li2YBr
Method: DFT, PBE
State: relaxed

Unit cell a=3.3780 b=3.3780 c=8.4251 alpha=90.00 beta=90.00 gamma=90.00
Each line ends with the local moment (μB).
Atoms (fractional coordinates):
1 Br 0.5000 0.5000 0.7500  0.00
2 Li 0.0000 0.0000 0.9337  0.00
3 Li 0.0000 0.0000 0.5663  0.00
4 Y 0.5000 0.5000 0.2500  0.09

## Properties
The calculation puts the density of states at the Fermi level at 2.3 states/eV/f.u. As for the space-group type: P4/mmm (123). The formation energy without anion corrections comes out at -10.89 kcal/mol of atoms. The calculation puts the energy relative to the lowest polymorph listed for this composition at 62 meV per atom. As for the theoretical density: 3156 kg/m³.

=====

# 2
Material: CePuTlGe
Method: DFT, PBE
State: relaxed

Unit cell a=5.2895 b=5.2895 c=5.2895 alpha=60.00 beta=60.00 gamma=60.00
Each line ends with the local moment (μB).
Atoms (fractional coordinates):
1 Tl 0.5000 0.5000 0.5000  0.03
2 Ge 0.0000 0.0000 0.0000  -0.03
3 Ce 0.7500 0.7500 0.7500  0.92
4 Pu 0.2500 0.2500 0.2500  5.51

## Properties
The calculation puts the density of states at the Fermi level at 15.0 states/eV/f.u. As for the space-group type: F-43m (216). The calculation puts the energy relative to the lowest polymorph listed for this composition at 116 meV per atom. As for the theoretical density: 10491 kg/m³.

=====

# 3
Material: Zr2TaTl
Method: DFT, PBE
State: relaxed

Unit cell a=3.1114 b=5.4976 c=6.1213 alpha=55.65 beta=90.00 gamma=90.00
Atoms (fractional coordinates):
1 Ta 0.5000 0.5000 0.5000
2 Tl 0.0000 0.0000 0.5000
3 Zr 0.0000 0.0000 0.0000
4 Zr 0.5000 0.5000 0.0000

## Properties
The calculation puts the density of states at the Fermi level at 4.0 states/eV/f.u. As for the space-group type: P2/m (10). The calculation puts the energy relative to the lowest polymorph listed for this composition at 193 meV per atom. As for the theoretical density: 10906 kg/m³.